! La2ScZn, optimized geometry, DFT PBE; values from VASP
! Spin magnetization = 0.000 μB per formula unit
! Total energy = -33.7 eV per cell
! Energy relative to the elements = 0.151 eV per atom
! Space-group type = I-42d
&SYSTEM
  ibrav = 0, nat = 8, ntyp = 3
/
ATOMIC_SPECIES
La 138.91 La.upf
Sc 44.96 Sc.upf
Zn 65.41 Zn.upf
CELL_PARAMETERS angstrom
8.7634 0.0000 0.0000
0.0000 8.7634 0.0000
4.3817 4.3817 3.0919
ATOMIC_POSITIONS crystal
La 0.8750 0.9173 0.7500
La 0.6673 0.1250 0.2500
Sc 0.5000 0.5000 0.0000
Zn 0.0000 0.0000 0.0000
Zn 0.7500 0.2500 0.5000
Sc 0.2500 0.7500 0.5000
La 0.0827 0.6250 0.2500
La 0.3750 0.3327 0.7500